DFT (PBE) results for a geometry-optimized ScCr2RhS structure.

Cell lengths 4.7649, 4.7649, 4.6070 Å; angles 90.00, 90.00, 90.00 degrees
Last column: nearest neighbours and their distance in Å.
Space group P4/mmm (No. 123)
Asymmetric unit:
1 Sc 0.0000 0.0000 0.0000 (multiplicity 1)  2 S 2.30, 4 Cr 2.38
2 Cr 0.0000 0.5000 0.0000 (multiplicity 2)  2 Sc 2.38
3 Rh 0.5000 0.5000 0.5000 (multiplicity 1)  8 Cr 3.31, 4 S 3.37
4 S 0.0000 0.0000 0.5000 (multiplicity 1)  2 Sc 2.30

Values from the calculation:
- Energy: -6.071 eV per atom